A relaxed structure of OsRuPb2O6, computed with PBE-GGA.

The structure belongs to space group R-3m (No. 166, hexagonal axes); the cell edges are 5.7910, 5.7910 and 28.2343 Å and the angles 90.00°, 90.00° and 120.00°. The distinct sites, in fractional coordinates, are Os at (0.0000, 0.0000, 0.0000), Os at (0.0000, 0.0000, 0.5000), Ru at (0.0000, 0.0000, 0.0910), Pb at (0.0000, 0.0000, 0.2268), Pb at (0.0000, 0.0000, 0.3811), O at (0.0166, 0.5083, 0.6220) and O at (0.0247, 0.5124, 0.2089).

The total energy comes out at -6.656 eV/atom. Its density of states at the Fermi level is 0.49 states/eV/atom. For the volume, the calculation gives 820.0 Å³/cell.